Record 1
MgSi2Ag | meta-GGA SCAN | single point on PBEsol structure

**Formation energy without anion corrections**: 26.0 kJ per mole of atoms
**DOS at the Fermi energy**: 1.21 states/eV/cell

Cell lengths 4.0018, 4.0018, 4.0669 Å; angles 90.00, 90.00, 90.00 degrees
Space group P4/mmm (No. 123)
Unique sites:
Mg: 0.0000 0.0000 0.0000 [1 per cell]
Si: 0.0000 0.5000 0.5000 [2 per cell]
Ag: 0.5000 0.5000 0.0000 [1 per cell]

---

Record 2
SiB2PbCl | meta-GGA SCAN | single point on PBEsol structure

**Formation energy without anion corrections**: 195.1 kJ per mole of atoms
**DOS at the Fermi energy**: 3.14 states/eV/cell

Cell lengths 4.5353, 4.5353, 5.3824 Å; angles 90.00, 90.00, 90.00 degrees
Space group P4/mmm (No. 123)
Unique sites:
Si: 0.0000 0.0000 0.0000 [1 per cell]
B: 0.0000 0.5000 0.5000 [2 per cell]
Pb: 0.5000 0.5000 0.5000 [1 per cell]
Cl: 0.5000 0.5000 0.0000 [1 per cell]